No. 1
Here is an optimized crystal structure of Dy3HoEr4S8 from the Alexandria database. Energies are from GGA-PBE.

Geometry as extended XYZ:
```
16
Lattice="3.881 2.241 6.345 -3.881 2.241 6.345 0.000 -4.481 6.345" Properties=species:S:1:pos:R:3 pbc="T T T"
Dy -1.941 -1.120 6.345
Dy -1.941 1.120 12.690
Dy 0.000 2.241 6.345
Ho 0.000 0.000 0.000
Er -3.881 0.000 9.517
Er -1.941 1.120 3.172
Er 1.941 1.120 3.172
Er 0.000 0.000 9.517
S -1.946 -1.124 11.081
S 0.000 0.000 4.731
S 0.000 -2.247 7.954
S -1.946 1.124 7.954
S 1.946 -1.124 11.081
S 0.000 2.247 11.081
S 0.000 0.000 14.303
S 1.946 1.124 7.954
```

Results
As for the crystal system: trigonal. As for the total energy: -6.3207 eV/atom.

=====

No. 2
Here is an optimized crystal structure of DyHo4Er3S8 from the Alexandria database. Energies are from GGA-PBE.

Geometry as extended XYZ:
```
16
Lattice="3.879 2.240 6.337 -3.879 2.240 6.337 0.000 -4.480 6.337" Properties=species:S:1:pos:R:3 pbc="T T T"
Dy 0.000 0.000 0.000
Ho -3.879 0.000 9.505
Ho -1.940 1.120 3.168
Ho 1.940 1.120 3.168
Ho 0.000 0.000 9.505
Er -1.940 -1.120 6.337
Er -1.940 1.120 12.674
Er 0.000 2.240 6.337
S 0.000 0.000 4.766
S 0.000 -2.227 7.917
S -1.929 1.114 7.917
S -1.929 -1.114 11.094
S 1.929 1.114 7.917
S 1.929 -1.114 11.094
S 0.000 2.227 11.094
S 0.000 0.000 14.245
```

Results
As for the crystal system: trigonal. As for the total energy: -6.3157 eV/atom.

=====

No. 3
Here is an optimized crystal structure of Dy3Ho2ErS6 from the Alexandria database. Energies are from GGA-PBE.

Geometry as extended XYZ:
```
12
Lattice="3.360 -5.847 0.000 3.360 5.847 0.000 -2.246 0.000 6.355" Properties=species:S:1:pos:R:3 pbc="T T T"
Dy 0.000 0.000 0.000
Dy 3.360 1.958 0.000
Dy 3.360 -1.958 0.000
Ho 2.237 3.897 3.178
Ho 2.237 -3.897 3.178
Er 2.237 0.000 3.178
S 1.123 1.941 1.607
S 0.003 0.000 4.752
S 1.123 -1.941 1.607
S 3.351 1.941 4.748
S 4.470 0.000 1.603
S 3.351 -1.941 4.748
```

Results
As for the crystal system: monoclinic. As for the total energy: -6.3415 eV/atom.

=====

No. 4
Here is an optimized crystal structure of Dy2HoEr3S6 from the Alexandria database. Energies are from GGA-PBE.

Geometry as extended XYZ:
```
12
Lattice="8.450 -1.936 0.000 8.450 1.936 0.000 -1.821 0.000 7.574" Properties=species:S:1:pos:R:3 pbc="T T T"
Dy 2.212 0.000 2.528
Dy 12.868 0.000 5.046
Ho 8.450 0.000 0.000
Er 1.305 0.000 6.309
Er 7.540 0.000 3.787
Er 13.774 0.000 1.265
S -1.348 0.000 5.675
S 3.955 0.000 6.963
S 4.895 0.000 3.139
S 10.185 0.000 4.435
S 11.124 0.000 0.611
S 16.427 0.000 1.899
```

Results
As for the crystal system: monoclinic. As for the total energy: -6.3241 eV/atom.

=====

No. 5
Here is an optimized crystal structure of Dy3Ho4ErS8 from the Alexandria database. Energies are from GGA-PBE.

Geometry as extended XYZ:
```
16
Lattice="3.890 2.246 6.353 -3.890 2.246 6.353 0.000 -4.492 6.353" Properties=species:S:1:pos:R:3 pbc="T T T"
Dy -1.945 -1.123 6.353
Dy -1.945 1.123 12.706
Dy 0.000 2.246 6.353
Ho -3.890 0.000 9.530
Ho -1.945 1.123 3.177
Ho 1.945 1.123 3.177
Ho 0.000 0.000 9.530
Er 0.000 0.000 0.000
S -1.956 -1.130 11.113
S 0.000 0.000 4.750
S 0.000 -2.259 7.946
S -1.956 1.130 7.946
S 1.956 -1.130 11.113
S 0.000 2.259 11.113
S 0.000 0.000 14.309
S 1.956 1.130 7.946
```

Results
As for the crystal system: trigonal. As for the total energy: -6.3304 eV/atom.

=====

No. 6
Here is an optimized crystal structure of Dy3Ho3ErS8 from the Alexandria database. Energies are from GGA-PBE.

Geometry as extended XYZ:
```
15
Lattice="3.884 2.242 6.349 -3.884 2.242 6.349 0.000 -4.485 6.349" Properties=species:S:1:pos:R:3 pbc="T T T"
Dy -1.942 -1.121 6.349
Dy -1.942 1.121 12.699
Dy 0.000 2.242 6.349
Ho -3.884 0.000 9.524
Ho -1.942 1.121 3.175
Ho 1.942 1.121 3.175
Er 0.000 0.000 9.524
S 0.000 0.000 4.750
S -1.944 -1.122 11.101
S 0.000 -2.244 7.948
S -1.944 1.122 7.948
S 1.944 -1.122 11.101
S 0.000 2.244 11.101
S 1.944 1.122 7.948
S 0.000 0.000 14.298
```

Results
As for the crystal system: trigonal. As for the total energy: -6.3881 eV/atom.